PBE Ag3GeOs, relaxed; total magnetization = 2.6 μB per cell; E_tot = -3.40 eV/atom; energy relative to the lowest polymorph listed for this composition = 0 meV per atom; energy of formation = 1.48 eV/atom; DOS(E_F) = 5.12 states/eV/f.u.; symmetry = Pm-3m
1.0
-3.478 2.911 1.363
-2.569 -3.725 1.399
1.932 0.288 4.314
Ge Os Ag
1 1 3
Direct
0.000 0.000 0.000
0.500 0.500 0.500
0.000 0.500 0.000
0.000 0.000 0.500
0.500 0.000 0.000

***

PBE AgGe2Os2, relaxed; total magnetization = 0.0 μB per cell; E_tot = -6.67 eV/atom; energy relative to the lowest polymorph listed for this composition = 0 meV per atom; energy of formation = 0.24 eV/atom; DOS(E_F) = 2.10 states/eV/f.u.; symmetry = P4/mbm
1.0
7.248 0.000 0.000
0.000 7.248 0.000
0.000 0.000 2.979
Ge Os Ag
4 4 2
Direct
0.153 0.653 0.500
0.653 0.847 0.500
0.847 0.347 0.500
0.347 0.153 0.500
0.357 0.857 0.000
0.857 0.643 0.000
0.643 0.143 0.000
0.143 0.357 0.000
0.000 0.000 0.000
0.500 0.500 0.000

***

PBE Ag3GeOs, relaxed; total magnetization = 1.9 μB per cell; E_tot = -3.31 eV/atom; energy relative to the lowest polymorph listed for this composition = 92 meV per atom; energy of formation = 1.57 eV/atom; DOS(E_F) = 4.93 states/eV/f.u.; symmetry = Pm-3m
1.0
5.058 0.000 0.000
0.000 5.058 0.000
0.000 0.000 5.058
Ge Os Ag
1 1 3
Direct
0.500 0.500 0.500
0.000 0.000 0.000
0.000 0.500 0.000
0.000 0.000 0.500
0.500 0.000 0.000

***

PBE AgGe2Os, relaxed; total magnetization = 0.0 μB per cell; E_tot = -5.69 eV/atom; energy relative to the lowest polymorph listed for this composition = 0 meV per atom; energy of formation = 0.14 eV/atom; DOS(E_F) = 1.15 states/eV/f.u.; symmetry = R-3m
1.0
-1.358 0.671 2.647
-0.298 -2.145 2.148
7.279 1.849 5.022
Ge Os Ag
2 1 1
Direct
0.097 0.097 0.709
0.903 0.903 0.291
0.500 0.500 0.500
0.000 0.000 0.000

***

PBE AgGe2Os, relaxed; total magnetization = 0.0 μB per cell; E_tot = -5.21 eV/atom; energy relative to the lowest polymorph listed for this composition = 487 meV per atom; energy of formation = 0.62 eV/atom; DOS(E_F) = 1.72 states/eV/f.u.; symmetry = I-42d
1.0
-1.010 5.615 1.382
-5.514 -0.513 -1.946
-4.897 1.018 4.753
Ge Os Ag
4 2 2
Direct
0.662 0.125 0.250
0.088 0.625 0.250
0.375 0.338 0.750
0.875 0.912 0.750
0.000 0.000 0.000
0.750 0.250 0.500
0.500 0.500 0.000
0.250 0.750 0.500

***

PBE AgGeOs3, relaxed; total magnetization = 2.1 μB per cell; E_tot = -6.41 eV/atom; energy relative to the lowest polymorph listed for this composition = 0 meV per atom; energy of formation = 1.82 eV/atom; DOS(E_F) = 5.29 states/eV/f.u.; symmetry = Pm-3m
1.0
-2.695 3.583 -0.740
-0.913 0.232 4.445
3.543 2.785 0.582
Ge Os Ag
1 3 1
Direct
0.000 0.000 0.000
0.000 0.500 0.000
0.000 0.000 0.500
0.500 0.000 0.000
0.500 0.500 0.500

***

PBE AgGe2Os, relaxed; total magnetization = 0.0 μB per cell; E_tot = -5.37 eV/atom; energy relative to the lowest polymorph listed for this composition = 325 meV per atom; energy of formation = 0.46 eV/atom; DOS(E_F) = 4.03 states/eV/f.u.; symmetry = Fm-3m
1.0
-1.840 -3.858 -1.398
-1.507 -2.990 3.002
-4.420 -0.682 0.469
Ge Os Ag
2 1 1
Direct
0.250 0.250 0.250
0.750 0.750 0.750
0.500 0.500 0.500
0.000 0.000 0.000

***

PBE AgGe2OsRu, relaxed; total magnetization = 0.0 μB per cell; E_tot = -5.56 eV/atom; energy of formation = 0.96 eV/atom; DOS(E_F) = 4.48 states/eV/f.u.; symmetry = P4/mmm
1.0
-2.170 -0.064 -4.179
-0.380 -4.878 0.272
-4.163 0.444 2.155
Ru Ge Os Ag
1 2 1 1
Direct
0.000 0.500 0.000
0.000 0.000 0.500
0.500 0.000 0.000
0.000 0.000 0.000
0.500 0.500 0.500

***

PBE Si2AgGeOs, relaxed; total magnetization = 0.3 μB per cell; E_tot = -5.28 eV/atom; DOS(E_F) = 3.66 states/eV/f.u.; symmetry = P4/mmm; raw formation energy = 0.62 eV per atom
1.0
4.512 0.000 0.000
0.000 5.388 0.000
0.000 0.000 4.512
Ge Os Si Ag
1 1 2 1
Direct
0.500 0.500 0.500
0.000 0.000 0.000
0.000 0.000 0.500
0.500 0.000 0.000
0.000 0.500 0.000

***

PBE SiAgGeOs2, relaxed; total magnetization = 1.2 μB per cell; E_tot = -5.92 eV/atom; DOS(E_F) = 5.14 states/eV/f.u.; symmetry = P4/mmm; raw formation energy = 1.15 eV per atom
1.0
-0.596 -4.047 -1.863
3.700 -1.592 2.276
-2.632 -1.197 3.442
Ge Os Si Ag
1 2 1 1
Direct
0.500 0.500 0.500
0.000 0.000 0.500
0.500 0.000 0.000
0.000 0.000 0.000
0.000 0.500 0.000

***

PBE Ag2SnGeOs, relaxed; total magnetization = 1.3 μB per cell; E_tot = -3.73 eV/atom; energy relative to the lowest polymorph listed for this composition = 267 meV per atom; energy of formation = 1.38 eV/atom; DOS(E_F) = 4.25 states/eV/f.u.; symmetry = P4/mmm
1.0
-0.062 -2.423 -4.461
-1.106 -4.299 2.350
-4.952 1.011 -0.481
Ge Os Sn Ag
1 1 1 2
Direct
0.500 0.500 0.500
0.000 0.500 0.000
0.000 0.000 0.000
0.000 0.000 0.500
0.500 0.000 0.000

***

PBE Ag2SnGeOs, relaxed; total magnetization = 0.0 μB per cell; E_tot = -3.99 eV/atom; energy relative to the lowest polymorph listed for this composition = 0 meV per atom; energy of formation = 1.12 eV/atom; DOS(E_F) = 3.59 states/eV/f.u.; symmetry = P4/mmm
1.0
-2.832 -1.263 4.084
-0.272 -4.709 -1.644
4.265 -1.154 2.601
Ge Os Sn Ag
1 1 1 2
Direct
0.500 0.500 0.500
0.000 0.000 0.000
0.000 0.500 0.000
0.000 0.000 0.500
0.500 0.000 0.000

***

PBE VAgGe2Os, relaxed; total magnetization = 1.9 μB per cell; E_tot = -4.93 eV/atom; energy of formation = 1.55 eV/atom; DOS(E_F) = 9.18 states/eV/f.u.; symmetry = P4/mmm
1.0
4.583 0.000 0.000
0.000 4.851 0.000
0.000 0.000 4.583
Ge Os Ag V
2 1 1 1
Direct
0.000 0.000 0.500
0.500 0.000 0.000
0.500 0.500 0.500
0.000 0.500 0.000
0.000 0.000 0.000

***

PBE AgGeP, relaxed; total magnetization = 0.0 μB per cell; E_tot = -3.91 eV/atom; energy relative to the lowest polymorph listed for this composition = 223 meV per atom; energy of formation = 0.38 eV/atom; DOS(E_F) = 1.42 states/eV/f.u.; symmetry = I4mm
1.0
-2.563 -0.719 2.347
-1.766 -1.816 -2.485
4.270 -2.394 1.248
P Ge Ag
1 1 1
Direct
0.253 0.253 0.506
0.644 0.644 0.289
0.953 0.953 0.905

***

PBE AgGe2P2, relaxed; total magnetization = 0.0 μB per cell; E_tot = -4.25 eV/atom; energy relative to the lowest polymorph listed for this composition = 20 meV per atom; energy of formation = 0.33 eV/atom; DOS(E_F) = 1.51 states/eV/f.u.; symmetry = P4/mbm
1.0
7.354 0.000 0.000
0.000 7.354 0.000
0.000 0.000 3.589
P Ge Ag
4 4 2
Direct
0.297 0.797 0.000
0.797 0.703 0.000
0.703 0.203 0.000
0.203 0.297 0.000
0.140 0.640 0.500
0.640 0.860 0.500
0.860 0.360 0.500
0.360 0.140 0.500
0.000 0.000 0.000
0.500 0.500 0.000

***

PBE AgGe3P, relaxed; total magnetization = 0.0 μB per cell; E_tot = -3.46 eV/atom; energy relative to the lowest polymorph listed for this composition = 297 meV per atom; energy of formation = 0.96 eV/atom; DOS(E_F) = 3.10 states/eV/f.u.; symmetry = Pm-3m
1.0
-1.500 -3.772 -2.824
3.255 1.313 -3.483
3.407 -2.916 2.085
P Ge Ag
1 3 1
Direct
0.500 0.500 0.500
0.000 0.500 0.000
0.000 0.000 0.500
0.500 0.000 0.000
0.000 0.000 0.000

***

PBE Ag2GeP2, relaxed; total magnetization = 0.0 μB per cell; E_tot = -3.85 eV/atom; energy relative to the lowest polymorph listed for this composition = 65 meV per atom; energy of formation = 0.38 eV/atom; DOS(E_F) = 2.38 states/eV/f.u.; symmetry = P4/mbm
1.0
7.854 0.000 0.000
0.000 7.854 0.000
0.000 0.000 2.906
P Ge Ag
4 2 4
Direct
0.323 0.823 0.000
0.823 0.677 0.000
0.677 0.177 0.000
0.177 0.323 0.000
0.000 0.000 0.000
0.500 0.500 0.000
0.127 0.627 0.500
0.627 0.873 0.500
0.873 0.373 0.500
0.373 0.127 0.500

***

PBE AgGeP, relaxed; total magnetization = 0.0 μB per cell; E_tot = -4.14 eV/atom; energy relative to the lowest polymorph listed for this composition = 0 meV per atom; energy of formation = 0.16 eV/atom; DOS(E_F) = 0.81 states/eV/f.u.; symmetry = P3m1
1.0
-3.459 -1.042 3.649
0.399 -3.496 -0.621
2.061 1.631 2.419
P Ge Ag
1 1 1
Direct
0.295 0.333 0.667
0.049 0.000 0.000
0.656 0.667 0.333

***

PBE AgGe3P, relaxed; total magnetization = 0.0 μB per cell; E_tot = -3.76 eV/atom; energy relative to the lowest polymorph listed for this composition = 0 meV per atom; energy of formation = 0.66 eV/atom; DOS(E_F) = 2.93 states/eV/f.u.; symmetry = Pm-3m
1.0
-3.025 3.044 -2.152
-3.334 -0.971 3.315
1.667 3.584 2.726
P Ge Ag
1 3 1
Direct
0.000 0.000 0.000
0.000 0.500 0.000
0.000 0.000 0.500
0.500 0.000 0.000
0.500 0.500 0.500

***

PBE Ag2GeP2, relaxed; total magnetization = 0.0 μB per cell; E_tot = -3.91 eV/atom; energy relative to the lowest polymorph listed for this composition = 0 meV per atom; energy of formation = 0.32 eV/atom; DOS(E_F) = 1.92 states/eV/f.u.; symmetry = I4/mmm
1.0
3.305 0.000 0.000
0.000 3.305 0.000
1.652 1.652 8.250
P Ge Ag
2 1 2
Direct
0.750 0.250 0.500
0.250 0.750 0.500
0.000 0.000 0.000
0.401 0.401 0.197
0.599 0.599 0.803